Entry a
# NdSmNO

A geometry-optimized NdSmNO structure (PBE, OQMD via LeMat-Bulk).

For the total magnetization, the calculation gives 0.7 μB per formula unit. The crystal system is tetragonal. The value obtained for the calculated volume is 153.96 Å³/cell.

```
8
Lattice="4.336 0.000 0.000 0.000 4.336 0.000 0.000 0.000 8.190" Properties=species:S:1:pos:R:3 pbc="T T T"
N 0.000 2.168 2.939
N 2.168 0.000 5.251
Nd 0.000 0.000 4.095
Nd 2.168 2.168 4.095
O 0.000 0.000 0.000
O 2.168 2.168 0.000
Sm 2.168 0.000 0.889
Sm 0.000 2.168 7.301
```

Entry b
# NdSmNO

A geometry-optimized NdSmNO structure (PBE, OQMD via LeMat-Bulk).

For the total magnetization, the calculation gives 0.0 μB per formula unit. The crystal system is orthorhombic. The value obtained for the calculated volume is 159.04 Å³/cell.

```
8
Lattice="-3.172 -1.246 1.994 0.042 -5.025 -3.074 4.072 -2.841 4.700" Properties=species:S:1:pos:R:3 pbc="T T T"
N 1.384 -5.431 -1.193
N 2.742 -3.881 1.936
Nd 1.384 -3.408 0.072
Nd 2.750 -6.858 0.087
O -0.905 -3.002 0.594
O 1.857 -7.427 2.221
Sm -0.866 -6.073 -1.264
Sm 1.828 -5.455 3.407
```

Entry c
# NdSmNO

A geometry-optimized NdSmNO structure (PBE, OQMD via LeMat-Bulk).

For the total magnetization, the calculation gives 0.0 μB per formula unit. The crystal system is orthorhombic. The value obtained for the calculated volume is 293.41 Å³/cell.

```
16
Lattice="6.845 0.000 0.000 0.000 8.317 0.000 0.000 0.000 5.154" Properties=species:S:1:pos:R:3 pbc="T T T"
N 2.953 1.071 0.260
N 6.375 7.247 0.260
N 0.470 1.071 2.837
N 3.892 7.247 2.837
Nd 0.554 1.062 0.260
Nd 3.977 7.255 0.260
Nd 2.868 1.062 2.837
Nd 6.291 7.255 2.837
O 6.206 3.119 0.262
O 2.783 5.199 0.262
O 4.062 3.119 2.839
O 0.639 5.199 2.839
Sm 3.924 3.146 0.261
Sm 0.502 5.171 0.261
Sm 6.343 3.146 2.838
Sm 2.921 5.171 2.838
```

Entry d
# NdSmNO

A geometry-optimized NdSmNO structure (PBE, OQMD via LeMat-Bulk).

For the total magnetization, the calculation gives 0.0 μB per formula unit. The crystal system is orthorhombic. The value obtained for the calculated volume is 292.59 Å³/cell.

```
16
Lattice="6.853 0.000 0.000 0.000 8.324 0.000 0.000 0.000 5.129" Properties=species:S:1:pos:R:3 pbc="T T T"
N 6.344 1.023 0.259
N 2.917 7.301 0.259
N 3.936 1.023 2.823
N 0.510 7.301 2.823
Nd 0.488 3.132 0.261
Nd 3.914 5.192 0.261
Nd 2.939 3.132 2.825
Nd 6.365 5.192 2.825
O 2.812 3.049 0.261
O 6.238 5.275 0.261
O 0.615 3.049 2.825
O 4.042 5.275 2.825
Sm 3.992 1.041 0.258
Sm 0.566 7.283 0.258
Sm 6.287 1.041 2.822
Sm 2.861 7.283 2.822
```

Q: Which of them is the least stable? A: entry a.

Entry a
# NdSmNO

A geometry-optimized NdSmNO structure (PBE, OQMD via LeMat-Bulk).

For the total magnetization, the calculation gives 0.8 μB per formula unit. The crystal system is tetragonal. The value obtained for the calculated volume is 156.47 Å³/cell.

```
8
Lattice="4.313 0.000 0.000 0.000 4.313 0.000 0.000 0.000 8.412" Properties=species:S:1:pos:R:3 pbc="T T T"
N 0.000 2.156 3.118
N 2.156 0.000 5.294
Nd 2.156 0.000 0.982
Nd 0.000 2.156 7.430
O 0.000 0.000 0.000
O 2.156 2.156 0.000
Sm 0.000 0.000 4.206
Sm 2.156 2.156 4.206
```

Entry b
# NdSmNO

A geometry-optimized NdSmNO structure (PBE, OQMD via LeMat-Bulk).

For the total magnetization, the calculation gives 0.0 μB per formula unit. The crystal system is orthorhombic. The value obtained for the calculated volume is 148.62 Å³/cell.

```
8
Lattice="4.112 0.000 0.000 0.000 5.082 0.000 0.000 0.000 7.113" Properties=species:S:1:pos:R:3 pbc="T T T"
N 0.000 4.764 2.415
N 0.000 2.223 4.698
Nd 2.056 4.769 1.179
Nd 2.056 2.229 5.934
O 2.056 2.233 1.269
O 2.056 4.774 5.844
Sm 0.000 2.228 2.368
Sm 0.000 4.769 4.745
```

Q: Which of them is the least stable? A: entry a.